# 1
A geometry-optimized PrHoRhBr structure. Source: Alexandria via LeMat-Bulk, functional GGA-PBE. Values from VASP.

Computed properties:
symmetry	R3m (160)
energy relative to the elements, uncorrected	-1.062	eV per atom
DOS at the Fermi energy	0.3	states/eV/f.u.
raw total energy	-0.2079	hartree per atom

The structure in Quantum ESPRESSO input format:
```
&SYSTEM
  ibrav = 0, nat = 4, ntyp = 4
/
ATOMIC_SPECIES
Pr 140.91 Pr.upf
Ho 164.93 Ho.upf
Rh 102.91 Rh.upf
Br 79.90 Br.upf
ATOMIC_POSITIONS crystal
Pr 0.000 0.000 0.000
Ho 0.796 0.796 0.796
Rh 0.402 0.402 0.402
Br 0.227 0.227 0.227
CELL_PARAMETERS angstrom
2.023 1.168 7.841
-2.023 1.168 7.841
0.000 -2.336 7.841
```

***

# 2
A geometry-optimized Sm5Ag2Sn2 structure. Source: Alexandria via LeMat-Bulk, functional GGA-PBE. Values from VASP.

Computed properties:
symmetry	Cmce (64)
DOS at the Fermi energy	8.9	states/eV/f.u.
raw total energy	-0.1677	hartree per atom
formation energy from the elements	-0.418	eV per atom

The structure in Quantum ESPRESSO input format:
```
&SYSTEM
  ibrav = 0, nat = 18, ntyp = 3
/
ATOMIC_SPECIES
Sm 150.36 Sm.upf
Ag 107.87 Ag.upf
Sn 118.71 Sn.upf
ATOMIC_POSITIONS crystal
Sm 0.000 0.000 0.000
Sm 0.036 0.691 0.667
Sm 0.191 0.536 0.167
Sm 0.309 0.964 0.667
Sm 0.464 0.809 0.167
Sm 0.500 0.500 0.500
Sm 0.536 0.191 0.833
Sm 0.691 0.036 0.333
Sm 0.809 0.464 0.833
Sm 0.964 0.309 0.333
Ag 0.125 0.875 0.373
Ag 0.375 0.625 0.873
Ag 0.625 0.375 0.127
Ag 0.875 0.125 0.627
Sn 0.205 0.205 0.000
Sn 0.295 0.295 0.500
Sn 0.705 0.705 0.500
Sn 0.795 0.795 0.000
CELL_PARAMETERS angstrom
7.932 -4.113 0.000
7.932 4.113 0.000
0.000 0.000 8.089
```

***

# 3
A geometry-optimized SbSeI3 structure. Source: Alexandria via LeMat-Bulk, functional GGA-PBE. Values from VASP.

Computed properties:
symmetry	P2/c (13)
energy relative to the elements, uncorrected	-0.186	eV per atom
raw total energy	-0.0969	hartree per atom

The structure in Quantum ESPRESSO input format:
```
&SYSTEM
  ibrav = 0, nat = 20, ntyp = 3
/
ATOMIC_SPECIES
Sb 121.76 Sb.upf
Se 78.96 Se.upf
I 126.90 I.upf
ATOMIC_POSITIONS crystal
Sb 0.065 0.119 0.382
Sb 0.065 0.881 0.882
Sb 0.935 0.119 0.118
Sb 0.935 0.881 0.618
Se 0.040 0.395 0.323
Se 0.040 0.605 0.823
Se 0.960 0.395 0.177
Se 0.960 0.605 0.677
I 0.131 0.200 0.969
I 0.131 0.800 0.469
I 0.249 0.034 0.213
I 0.249 0.966 0.713
I 0.343 0.346 0.426
I 0.343 0.654 0.926
I 0.657 0.346 0.074
I 0.657 0.654 0.574
I 0.751 0.034 0.287
I 0.751 0.966 0.787
I 0.869 0.200 0.531
I 0.869 0.800 0.031
CELL_PARAMETERS angstrom
7.906 0.000 0.000
0.000 9.371 0.000
-0.512 0.000 15.621
```

***

# 4
A geometry-optimized NdMgNiGe2 structure. Source: Alexandria via LeMat-Bulk, functional GGA-PBE. Values from VASP.

Computed properties:
symmetry	Pmma (51)
DOS at the Fermi energy	3.2	states/eV/f.u.
raw total energy	-0.1737	hartree per atom
formation energy from the elements	-0.450	eV per atom

The structure in Quantum ESPRESSO input format:
```
&SYSTEM
  ibrav = 0, nat = 10, ntyp = 4
/
ATOMIC_SPECIES
Nd 144.24 Nd.upf
Mg 24.30 Mg.upf
Ni 58.69 Ni.upf
Ge 72.64 Ge.upf
ATOMIC_POSITIONS crystal
Nd 0.250 0.000 0.241
Nd 0.750 0.000 0.759
Mg 0.250 0.500 0.379
Mg 0.750 0.500 0.621
Ni 0.000 0.500 0.000
Ni 0.500 0.500 0.000
Ge 0.250 0.238 0.764
Ge 0.250 0.762 0.764
Ge 0.750 0.238 0.236
Ge 0.750 0.762 0.236
CELL_PARAMETERS angstrom
5.581 0.000 0.000
0.000 5.835 0.000
0.000 0.000 5.859
```

***

# 5
A geometry-optimized K2SrPuBr8 structure. Source: Alexandria via LeMat-Bulk, functional GGA-PBE. Values from VASP.

Computed properties:
symmetry	P2/m (10)
energy relative to the elements, uncorrected	-1.629	eV per atom
DOS at the Fermi energy	6.9	states/eV/f.u.
raw total energy	-0.1566	hartree per atom

The structure in Quantum ESPRESSO input format:
```
&SYSTEM
  ibrav = 0, nat = 12, ntyp = 4
/
ATOMIC_SPECIES
K 39.10 K.upf
Sr 87.62 Sr.upf
Pu 244.00 Pu.upf
Br 79.90 Br.upf
ATOMIC_POSITIONS crystal
K 0.000 0.247 0.000
K 0.000 0.753 0.000
Sr 0.500 0.000 0.500
Pu 0.500 0.500 0.500
Br 0.251 0.000 0.177
Br 0.278 0.279 0.631
Br 0.278 0.721 0.631
Br 0.287 0.500 0.187
Br 0.713 0.500 0.813
Br 0.722 0.279 0.369
Br 0.722 0.721 0.369
Br 0.749 0.000 0.823
CELL_PARAMETERS angstrom
7.154 0.000 0.000
0.000 9.241 0.000
-0.349 0.000 7.519
```

***

# 6
A geometry-optimized Ti4In2N structure. Source: Alexandria via LeMat-Bulk, functional GGA-PBE. Values from VASP.

Computed properties:
symmetry	Cmmm (65)
energy relative to the elements, uncorrected	-0.280	eV per atom
DOS at the Fermi energy	7.0	states/eV/f.u.
raw total energy	-0.2485	hartree per atom

The structure in Quantum ESPRESSO input format:
```
&SYSTEM
  ibrav = 0, nat = 7, ntyp = 3
/
ATOMIC_SPECIES
Ti 47.87 Ti.upf
In 114.82 In.upf
N 14.01 N.upf
ATOMIC_POSITIONS crystal
Ti 0.072 0.928 0.000
Ti 0.201 0.799 0.500
Ti 0.799 0.201 0.500
Ti 0.928 0.072 0.000
In 0.342 0.658 0.000
In 0.658 0.342 0.000
N 0.000 0.000 0.500
CELL_PARAMETERS angstrom
2.438 -9.593 0.000
2.438 9.593 0.000
0.000 0.000 2.918
```

***

# 7
A geometry-optimized As2PbAu structure. Source: Alexandria via LeMat-Bulk, functional GGA-PBE. Values from VASP.

Computed properties:
symmetry	R-3m (166)
DOS at the Fermi energy	2.8	states/eV/f.u.
raw total energy	-0.1470	hartree per atom
formation energy from the elements	0.070	eV per atom

The structure in Quantum ESPRESSO input format:
```
&SYSTEM
  ibrav = 0, nat = 4, ntyp = 3
/
ATOMIC_SPECIES
As 74.92 As.upf
Pb 207.20 Pb.upf
Au 196.97 Au.upf
ATOMIC_POSITIONS crystal
As 0.233 0.233 0.233
As 0.767 0.767 0.767
Pb 0.000 0.000 0.000
Au 0.500 0.500 0.500
CELL_PARAMETERS angstrom
2.025 1.169 6.577
-2.025 1.169 6.577
0.000 -2.338 6.577
```

***

# 8
A geometry-optimized Tl3CdF6 structure. Source: Alexandria via LeMat-Bulk, functional GGA-PBE. Values from VASP.

Computed properties:
symmetry	Cmc2_1 (36)
energy relative to the elements, uncorrected	-1.831	eV per atom
DOS at the Fermi energy	1.9	states/eV/f.u.
raw total energy	-0.1380	hartree per atom

The structure in Quantum ESPRESSO input format:
```
&SYSTEM
  ibrav = 0, nat = 20, ntyp = 3
/
ATOMIC_SPECIES
Tl 204.38 Tl.upf
Cd 112.41 Cd.upf
F 19.00 F.upf
ATOMIC_POSITIONS crystal
Tl 0.092 0.908 0.500
Tl 0.213 0.416 0.456
Tl 0.416 0.213 0.956
Tl 0.584 0.787 0.456
Tl 0.787 0.584 0.956
Tl 0.908 0.092 0.000
Cd 0.286 0.714 0.928
Cd 0.714 0.286 0.428
F 0.073 0.637 0.721
F 0.109 0.153 0.723
F 0.153 0.109 0.223
F 0.260 0.740 0.266
F 0.363 0.927 0.721
F 0.446 0.554 0.818
F 0.554 0.446 0.318
F 0.637 0.073 0.221
F 0.740 0.260 0.766
F 0.847 0.891 0.723
F 0.891 0.847 0.223
F 0.927 0.363 0.221
CELL_PARAMETERS angstrom
5.291 -6.381 0.000
5.291 6.381 0.000
0.000 0.000 6.225
```

***

# 9
A geometry-optimized Hg3SeS structure. Source: Alexandria via LeMat-Bulk, functional GGA-PBE. Values from VASP.

Computed properties:
symmetry	Pm-3m (221)
energy relative to the elements, uncorrected	0.432	eV per atom
DOS at the Fermi energy	2.0	states/eV/f.u.
raw total energy	-0.0467	hartree per atom

The structure in Quantum ESPRESSO input format:
```
&SYSTEM
  ibrav = 0, nat = 5, ntyp = 3
/
ATOMIC_SPECIES
Hg 200.59 Hg.upf
Se 78.96 Se.upf
S 32.06 S.upf
ATOMIC_POSITIONS crystal
Hg 0.000 0.000 0.500
Hg 0.000 0.500 0.000
Hg 0.500 0.000 0.000
Se 0.000 0.000 0.000
S 0.500 0.500 0.500
CELL_PARAMETERS angstrom
5.345 0.000 0.000
0.000 5.345 0.000
0.000 0.000 5.345
```

***

# 10
A geometry-optimized V3Se3S structure. Source: Alexandria via LeMat-Bulk, functional GGA-PBE. Values from VASP.

Computed properties:
symmetry	P6_3/mmc (194)
energy relative to the elements, uncorrected	-0.436	eV per atom
DOS at the Fermi energy	7.2	states/eV/f.u.
raw total energy	-0.2362	hartree per atom

The structure in Quantum ESPRESSO input format:
```
&SYSTEM
  ibrav = 0, nat = 14, ntyp = 3
/
ATOMIC_SPECIES
V 50.94 V.upf
Se 78.96 Se.upf
S 32.06 S.upf
ATOMIC_POSITIONS crystal
V 0.163 0.327 0.250
V 0.163 0.837 0.250
V 0.327 0.163 0.750
V 0.673 0.837 0.250
V 0.837 0.163 0.750
V 0.837 0.673 0.750
Se 0.192 0.383 0.750
Se 0.192 0.808 0.750
Se 0.383 0.192 0.250
Se 0.617 0.808 0.750
Se 0.808 0.192 0.250
Se 0.808 0.617 0.250
S 0.333 0.667 0.250
S 0.667 0.333 0.750
CELL_PARAMETERS angstrom
7.846 0.000 0.000
-3.923 6.795 0.000
0.000 0.000 5.065
```

***

# 11
A geometry-optimized ZrOs structure. Source: Alexandria via LeMat-Bulk, functional GGA-PBE. Values from VASP.

Computed properties:
symmetry	I4/m (87)
DOS at the Fermi energy	1.7	states/eV/f.u.
raw total energy	-0.3356	hartree per atom
formation energy from the elements	0.756	eV per atom

The structure in Quantum ESPRESSO input format:
```
&SYSTEM
  ibrav = 0, nat = 8, ntyp = 2
/
ATOMIC_SPECIES
Zr 91.22 Zr.upf
Os 190.23 Os.upf
ATOMIC_POSITIONS crystal
Zr 0.043 0.325 0.369
Zr 0.325 0.957 0.282
Zr 0.675 0.043 0.718
Zr 0.957 0.675 0.631
Os 0.160 0.788 0.948
Os 0.212 0.160 0.372
Os 0.788 0.840 0.628
Os 0.840 0.212 0.052
CELL_PARAMETERS angstrom
-5.582 5.582 1.431
5.582 -5.582 1.431
5.582 5.582 -1.431
```

***

# 12
A geometry-optimized MgTlP2 structure. Source: Alexandria via LeMat-Bulk, functional GGA-PBE. Values from VASP.

Computed properties:
symmetry	C2/m (12)
DOS at the Fermi energy	1.3	states/eV/f.u.
raw total energy	-0.1284	hartree per atom
formation energy from the elements	0.202	eV per atom

The structure in Quantum ESPRESSO input format:
```
&SYSTEM
  ibrav = 0, nat = 4, ntyp = 3
/
ATOMIC_SPECIES
Mg 24.30 Mg.upf
Tl 204.38 Tl.upf
P 30.97 P.upf
ATOMIC_POSITIONS crystal
Mg 0.000 0.000 0.000
Tl 0.500 0.500 0.000
P 0.000 0.500 0.500
P 0.500 0.000 0.500
CELL_PARAMETERS angstrom
2.904 -3.784 0.000
2.904 3.784 0.000
-1.408 0.000 3.750
```

***

no.,volume (Å³ per cell)
1,111.21
2,527.76
3,1157.23
4,190.83
5,497.07
6,136.50
7,93.43
8,420.35
9,152.72
10,270.15
11,178.34
12,82.40